No. 1
# YMgPd3 PBE optimized geometry
# DFT formation energy: -0.241 eV/atom
# Space group: Pm-3m, No. 221
data_YMgPd3
_chemical_formula_sum 'Y1 Mg1 Pd3'
_symmetry_space_group_name_H-M 'P 1'
_symmetry_Int_Tables_number 1
_cell_length_a 4.674
_cell_length_b 4.674
_cell_length_c 4.674
_cell_angle_alpha 90.00
_cell_angle_beta 90.00
_cell_angle_gamma 90.00
loop_
_symmetry_equiv_pos_as_xyz
'x,y,z'
loop_
_atom_site_label
_atom_site_fract_x
_atom_site_fract_y
_atom_site_fract_z
_atom_site_occupancy
Y1 0.500 0.500 0.500 1
Mg1 0.000 0.000 0.000 1
Pd1 0.000 0.500 0.000 1
Pd2 0.000 0.000 0.500 1
Pd3 0.500 0.000 0.000 1

No. 2
# AcTb4Dy5 PBE optimized geometry
# DFT formation energy: 0.212 eV/atom
# Space group: C2/m, No. 12
data_AcTb4Dy5
_chemical_formula_sum 'Ac1 Tb4 Dy5'
_symmetry_space_group_name_H-M 'P 1'
_symmetry_Int_Tables_number 1
_cell_length_a 3.589
_cell_length_b 11.084
_cell_length_c 8.822
_cell_angle_alpha 90.54
_cell_angle_beta 101.75
_cell_angle_gamma 90.01
loop_
_symmetry_equiv_pos_as_xyz
'x,y,z'
loop_
_atom_site_label
_atom_site_fract_x
_atom_site_fract_y
_atom_site_fract_z
_atom_site_occupancy
Ac1 0.500 0.000 0.000 1
Tb1 0.652 0.250 0.303 1
Tb2 0.973 0.258 0.945 1
Tb3 0.348 0.750 0.697 1
Tb4 0.027 0.742 0.055 1
Dy1 0.173 0.548 0.347 1
Dy2 0.177 0.942 0.354 1
Dy3 0.823 0.058 0.646 1
Dy4 0.500 0.500 0.000 1
Dy5 0.827 0.452 0.653 1

No. 3
# Li4Te2Pb PBE optimized geometry
# Space group: I4/mmm, No. 139
# Formation energy (no corrections): -0.251 eV per atom
data_Li4Te2Pb
_chemical_formula_sum 'Li4 Te2 Pb1'
_symmetry_space_group_name_H-M 'P 1'
_symmetry_Int_Tables_number 1
_cell_length_a 5.012
_cell_length_b 5.012
_cell_length_c 8.265
_cell_angle_alpha 72.35
_cell_angle_beta 72.35
_cell_angle_gamma 90.00
loop_
_symmetry_equiv_pos_as_xyz
'x,y,z'
loop_
_atom_site_label
_atom_site_fract_x
_atom_site_fract_y
_atom_site_fract_z
_atom_site_occupancy
Pb1 0.000 0.000 0.000 1
Te1 0.377 0.377 0.247 1
Te2 0.623 0.623 0.753 1
Li1 0.195 0.195 0.611 1
Li2 0.805 0.805 0.389 1
Li3 0.000 0.500 0.000 1
Li4 0.500 0.000 0.000 1

No. 4
# Ac4AsIrCl2 PBE optimized geometry
# Space group: P2/m, No. 10
# Formation energy (no corrections): -1.352 eV per atom
data_Ac4AsIrCl2
_chemical_formula_sum 'Ac4 As1 Ir1 Cl2'
_symmetry_space_group_name_H-M 'P 1'
_symmetry_Int_Tables_number 1
_cell_length_a 4.344
_cell_length_b 8.071
_cell_length_c 7.837
_cell_angle_alpha 107.86
_cell_angle_beta 90.00
_cell_angle_gamma 90.00
loop_
_symmetry_equiv_pos_as_xyz
'x,y,z'
loop_
_atom_site_label
_atom_site_fract_x
_atom_site_fract_y
_atom_site_fract_z
_atom_site_occupancy
Ac1 0.500 0.253 0.224 1
Ac2 0.500 0.747 0.776 1
Ac3 0.000 0.283 0.790 1
Ac4 0.000 0.717 0.210 1
As1 0.000 0.000 0.000 1
Ir1 0.500 0.500 0.000 1
Cl1 0.500 0.000 0.500 1
Cl2 0.000 0.500 0.500 1

No. 5
# Mg6Cd3Hg PBE optimized geometry
# DFT formation energy: -0.115 eV/atom
# Space group: P2_1/m, No. 11
data_Mg6Cd3Hg
_chemical_formula_sum 'Mg12 Cd6 Hg2'
_symmetry_space_group_name_H-M 'P 1'
_symmetry_Int_Tables_number 1
_cell_length_a 5.086
_cell_length_b 8.331
_cell_length_c 11.069
_cell_angle_alpha 112.57
_cell_angle_beta 90.00
_cell_angle_gamma 90.00
loop_
_symmetry_equiv_pos_as_xyz
'x,y,z'
loop_
_atom_site_label
_atom_site_fract_x
_atom_site_fract_y
_atom_site_fract_z
_atom_site_occupancy
Mg1 0.250 0.465 0.070 1
Mg2 0.750 0.535 0.930 1
Mg3 0.250 0.156 0.167 1
Mg4 0.750 0.844 0.833 1
Mg5 0.250 0.669 0.669 1
Mg6 0.750 0.331 0.331 1
Mg7 0.250 0.256 0.484 1
Mg8 0.750 0.744 0.516 1
Mg9 0.250 0.854 0.285 1
Mg10 0.750 0.146 0.715 1
Mg11 0.250 0.078 0.868 1
Mg12 0.750 0.922 0.132 1
Cd1 0.250 0.540 0.366 1
Cd2 0.750 0.460 0.634 1
Cd3 0.250 0.384 0.778 1
Cd4 0.750 0.616 0.222 1
Cd5 0.250 0.777 0.973 1
Cd6 0.750 0.223 0.027 1
Hg1 0.250 0.958 0.583 1
Hg2 0.750 0.042 0.417 1

No. 6
# Pm4NdErSe8 PBE optimized geometry
# Space group: R3m, No. 160
# Formation energy (no corrections): -1.726 eV per atom
data_Pm4NdErSe8
_chemical_formula_sum 'Pm4 Nd1 Er1 Se8'
_symmetry_space_group_name_H-M 'P 1'
_symmetry_Int_Tables_number 1
_cell_length_a 8.604
_cell_length_b 8.604
_cell_length_c 8.610
_cell_angle_alpha 60.03
_cell_angle_beta 60.03
_cell_angle_gamma 60.00
loop_
_symmetry_equiv_pos_as_xyz
'x,y,z'
loop_
_atom_site_label
_atom_site_fract_x
_atom_site_fract_y
_atom_site_fract_z
_atom_site_occupancy
Pm1 0.625 0.625 0.124 1
Pm2 0.001 0.496 0.502 1
Pm3 0.496 0.001 0.502 1
Pm4 0.001 0.001 0.502 1
Nd1 0.002 0.002 0.995 1
Er1 0.375 0.375 0.876 1
Se1 0.248 0.761 0.744 1
Se2 0.761 0.248 0.744 1
Se3 0.248 0.248 0.744 1
Se4 0.246 0.246 0.262 1
Se5 0.757 0.226 0.260 1
Se6 0.226 0.757 0.260 1
Se7 0.757 0.757 0.260 1
Se8 0.758 0.758 0.725 1

| no. | total DFT energy (no corrections) (eV per cell) |
| --- | --- |
| 1 | -24.8 |
| 2 | -43.5 |
| 3 | -19.4 |
| 4 | -44.5 |
| 5 | -27.5 |
| 6 | -80.4 |